KCrAg | GGA-PBE | optimized geometry

Properties
- Relative energy among the computed polymorphs: 81 meV/atom
- ΔE_f: 0.67 eV/atom

a = 11.018 Å, b = 2.945 Å, c = 9.523 Å
α = 90.00°, β = 90.00°, γ = 90.00°
Fractional coordinates of all 12 atoms:
K 0.177 0.250 0.092
K 0.323 0.750 0.592
K 0.677 0.250 0.408
K 0.823 0.750 0.908
Cr 0.038 0.250 0.438
Cr 0.462 0.750 0.938
Cr 0.538 0.250 0.062
Cr 0.962 0.750 0.562
Ag 0.084 0.250 0.757
Ag 0.416 0.750 0.257
Ag 0.584 0.250 0.743
Ag 0.916 0.750 0.243



K2CrAg | GGA-PBE | optimized geometry

Properties
- Relative energy among the computed polymorphs: 71 meV/atom
- ΔE_f: 0.57 eV/atom

a = 6.616 Å, b = 6.616 Å, c = 6.616 Å
α = 140.90°, β = 127.71°, γ = 67.19°
Fractional coordinates of all 4 atoms:
K 0.000 0.000 0.000
K 0.703 0.203 0.500
Cr 0.416 0.416 0.000
Ag 0.270 0.770 0.500



K2CrAg | GGA-PBE | optimized geometry

Properties
- Relative energy among the computed polymorphs: 7 meV/atom
- ΔE_f: 0.51 eV/atom

a = 3.827 Å, b = 3.827 Å, c = 10.069 Å
α = 90.00°, β = 90.00°, γ = 90.00°
Fractional coordinates of all 4 atoms:
K 0.000 0.000 0.000
K 0.500 0.500 0.403
Cr 0.500 0.500 0.736
Ag 0.000 0.000 0.659



K2CrAg | GGA-PBE | optimized geometry

Properties
- Relative energy among the computed polymorphs: 172 meV/atom
- ΔE_f: 0.67 eV/atom

a = 4.127 Å, b = 4.155 Å, c = 8.369 Å
α = 90.00°, β = 90.00°, γ = 90.00°
Fractional coordinates of all 4 atoms:
K 0.000 0.000 0.235
K 0.000 0.000 0.765
Cr 0.500 0.500 0.500
Ag 0.500 0.500 0.000



KCr2Ag | GGA-PBE | optimized geometry

Properties
- Relative energy among the computed polymorphs: 569 meV/atom
- ΔE_f: 1.15 eV/atom

a = 5.750 Å, b = 5.750 Å, c = 3.063 Å
α = 90.00°, β = 90.00°, γ = 113.50°
Fractional coordinates of all 4 atoms:
K 0.000 0.000 0.000
Cr 0.000 0.500 0.500
Cr 0.500 0.000 0.500
Ag 0.500 0.500 0.000



KCrAg2 | GGA-PBE | optimized geometry

Properties
- Relative energy among the computed polymorphs: 137 meV/atom
- ΔE_f: 0.55 eV/atom

a = 5.366 Å, b = 5.366 Å, c = 3.137 Å
α = 90.00°, β = 90.00°, γ = 90.71°
Fractional coordinates of all 4 atoms:
K 0.000 0.000 0.000
Cr 0.500 0.500 0.000
Ag 0.000 0.500 0.500
Ag 0.500 0.000 0.500



KCrAg2 | GGA-PBE | optimized geometry

Properties
- Relative energy among the computed polymorphs: 110 meV/atom
- ΔE_f: 0.52 eV/atom

a = 5.184 Å, b = 5.184 Å, c = 6.489 Å
α = 98.23°, β = 98.23°, γ = 35.94°
Fractional coordinates of all 4 atoms:
K 0.000 0.000 0.000
Cr 0.776 0.776 0.362
Ag 0.235 0.235 0.692
Ag 0.506 0.506 0.496



KCrAg2 | GGA-PBE | optimized geometry

Properties
- Relative energy among the computed polymorphs: 202 meV/atom
- ΔE_f: 0.61 eV/atom

a = 5.109 Å, b = 5.109 Å, c = 5.109 Å
α = 60.00°, β = 60.00°, γ = 60.00°
Fractional coordinates of all 4 atoms:
K 0.000 0.000 0.000
Cr 0.500 0.500 0.500
Ag 0.250 0.250 0.250
Ag 0.750 0.750 0.750



Number 1: magnetization 0.0 μB per formula unit, calculated total energy -11.567 eV/f.u.. Number 2: magnetization 5.0 μB per formula unit, calculated total energy -12.380 eV/f.u.. Number 3: magnetization 4.8 μB per formula unit, calculated total energy -12.637 eV/f.u.. Number 4: magnetization 5.3 μB per formula unit, calculated total energy -11.974 eV/f.u.. Number 5: magnetization 9.6 μB per formula unit, calculated total energy -18.610 eV/f.u.. Number 6: magnetization 4.5 μB per formula unit, calculated total energy -14.243 eV/f.u.. Number 7: magnetization 4.6 μB per formula unit, calculated total energy -14.352 eV/f.u.. Number 8: magnetization 4.6 μB per formula unit, calculated total energy -13.983 eV/f.u..